Entry 1:
DFT (PBE-GGA) results for an optimized crystal structure of HfIr3Os.

Values from the calculation:
magnetization: 0.00 μB/atom
energy of formation: 1.299 eV per atom

a = 4.7079 Å, b = 4.7079 Å, c = 4.7079 Å
α = 90.00°, β = 90.00°, γ = 90.00°
Last column: nearest neighbours and their distance in Å.
Space group Pm-3m (No. 221)
Inequivalent atoms, fractional coordinates:
1 Hf 0.0000 0.0000 0.0000  12 Ir 3.33
2 Ir 0.0000 0.5000 0.5000  2 Os 2.35
3 Os 0.5000 0.5000 0.5000  6 Ir 2.35

=====

Entry 2:
DFT (PBE-GGA) results for an optimized crystal structure of HfIrOs2.

Values from the calculation:
magnetization: 0.00 μB/atom
energy of formation: 0.316 eV per atom

a = 3.8432 Å, b = 3.8432 Å, c = 19.0968 Å
α = 90.00°, β = 90.00°, γ = 90.00°
Last column: nearest neighbours and their distance in Å.
Space group I-42d (No. 122)
Inequivalent atoms, fractional coordinates:
1 Hf 0.0000 0.0000 0.0000  4 Ir 2.72, 4 Os 2.82
2 Ir 0.0000 0.0000 0.5000  4 Os 2.68, 4 Hf 2.72
3 Os 0.1988 0.2500 0.6250  2 Os 2.45, 2 Ir 2.68

=====

> What is the formula in the second record?

HfIrOs2

=====

> Among the records above, which one has the highest energy of formation?

HfIr3Os

=====

> Number 1 is which compound?

HfIr3Os